A geometry-optimized TlZn2SbAs structure. Source: Alexandria, functional PBE.

Unit cell a=7.974 b=4.096 c=8.198 alpha=90.00 beta=104.29 gamma=90.00
Fractional coordinates of all 10 atoms:
Tl 0.055 0.250 0.291
Tl 0.945 0.750 0.709
Zn 0.487 0.250 0.618
Zn 0.490 0.750 0.864
Zn 0.510 0.250 0.136
Zn 0.513 0.750 0.382
Sb 0.271 0.750 0.074
Sb 0.729 0.250 0.926
As 0.291 0.750 0.569
As 0.709 0.250 0.431

Calculated values
Formation energy (no corrections)   -0.04 eV/atom


A geometry-optimized Tm6SbAs5 structure. Source: Alexandria, functional PBE.

Unit cell a=7.120 b=7.120 c=7.115 alpha=99.62 beta=99.62 gamma=119.94
Fractional coordinates of all 12 atoms:
Tm 0.070 0.415 0.744
Tm 0.240 0.240 0.254
Tm 0.415 0.070 0.744
Tm 0.585 0.930 0.256
Tm 0.760 0.760 0.746
Tm 0.930 0.585 0.256
Sb 0.500 0.500 0.000
As 0.000 0.000 0.500
As 0.167 0.833 0.000
As 0.336 0.664 0.500
As 0.664 0.336 0.500
As 0.833 0.167 0.000

Calculated values
Formation energy (no corrections)   -1.42 eV/atom


A geometry-optimized Tm8Sb2As structure. Source: Alexandria, functional PBE.

Unit cell a=9.077 b=9.077 c=8.722 alpha=95.00 beta=95.00 gamma=25.64
Fractional coordinates of all 11 atoms:
Tm 0.013 0.013 0.227
Tm 0.208 0.208 0.360
Tm 0.341 0.341 0.972
Tm 0.407 0.407 0.458
Tm 0.593 0.593 0.542
Tm 0.659 0.659 0.028
Tm 0.792 0.792 0.640
Tm 0.987 0.987 0.773
Sb 0.177 0.177 0.771
Sb 0.823 0.823 0.229
As 0.500 0.500 0.000

Calculated values
Formation energy (no corrections)   -0.60 eV/atom


A geometry-optimized Tm4Sb3As structure. Source: Alexandria, functional PBE.

Unit cell a=7.404 b=7.404 c=4.261 alpha=90.00 beta=90.00 gamma=109.32
Fractional coordinates of all 8 atoms:
Tm 0.238 0.238 0.500
Tm 0.244 0.756 0.000
Tm 0.756 0.244 0.000
Tm 0.762 0.762 0.500
Sb 0.000 0.500 0.500
Sb 0.500 0.000 0.500
Sb 0.500 0.500 0.000
As 0.000 0.000 0.000

Calculated values
ΔE to the lowest computed polymorph   0.00 eV per formula unit
Formation energy (no corrections)   -1.15 eV/atom


A geometry-optimized Tm3SbAs2 structure. Source: Alexandria, functional PBE.

Unit cell a=7.217 b=7.217 c=7.217 alpha=146.74 beta=131.76 gamma=59.85
Fractional coordinates of all 6 atoms:
Tm 0.000 0.000 0.000
Tm 0.322 0.322 0.000
Tm 0.678 0.678 0.000
Sb 0.500 0.000 0.500
As 0.164 0.664 0.500
As 0.836 0.336 0.500

Calculated values
Formation energy (no corrections)   -1.33 eV/atom


A geometry-optimized Tm3Sb2As structure. Source: Alexandria, functional PBE.

Unit cell a=7.384 b=7.384 c=7.384 alpha=146.82 beta=131.85 gamma=59.73
Fractional coordinates of all 6 atoms:
Tm 0.000 0.000 0.000
Tm 0.345 0.345 0.000
Tm 0.655 0.655 0.000
Sb 0.170 0.670 0.500
Sb 0.830 0.330 0.500
As 0.500 0.000 0.500

Calculated values
Formation energy (no corrections)   -1.19 eV/atom


A geometry-optimized TmSbAs structure. Source: Alexandria, functional PBE.

Unit cell a=3.969 b=3.969 c=9.112 alpha=90.00 beta=90.00 gamma=90.00
Fractional coordinates of all 6 atoms:
Tm 0.250 0.250 0.243
Tm 0.750 0.750 0.757
Sb 0.250 0.250 0.602
Sb 0.750 0.750 0.398
As 0.250 0.750 0.000
As 0.750 0.250 0.000

Calculated values
Formation energy (no corrections)   -0.74 eV/atom


A geometry-optimized Tm4Sb3As structure. Source: Alexandria, functional PBE.

Unit cell a=6.043 b=6.043 c=6.043 alpha=90.00 beta=90.00 gamma=90.00
Fractional coordinates of all 8 atoms:
Tm 0.000 0.000 0.000
Tm 0.000 0.500 0.500
Tm 0.500 0.000 0.500
Tm 0.500 0.500 0.000
Sb 0.000 0.000 0.500
Sb 0.000 0.500 0.000
Sb 0.500 0.000 0.000
As 0.500 0.500 0.500

Calculated values
ΔE to the lowest computed polymorph   0.11 eV per formula unit
Formation energy (no corrections)   -1.14 eV/atom